A geometry-optimized CsTiAu3 structure, computed with PBE.

a b c (Å): 5.961 5.961 5.961
angles (deg): 90.00 90.00 90.00
Last column: magnetic moment on the atom in μB.
Positions (direct):
Cs  0.000  0.000  0.000  0.04
Au  0.500  0.000  0.000  0.07
Au  0.000  0.500  0.000  0.05
Au  0.000  0.000  0.500  0.05
Ti  0.500  0.500  0.500  -1.99

Properties
The value obtained for the total magnetic moment is 2.1 μB per formula unit. The value obtained for the density is 6.0 Mg/m³. As for the space group: Pm-3m (221). For the total energy, the calculation gives -2.1511 eV per atom.